No. 1
Here is crystalline LaNiOs at its relaxed geometry from Alexandria. Energies are from PBEsol. Values from VASP.

Calculated values
magnetic moment = 0.00 μB per cell
electronic total energy = -8.117 eV per atom
energy of formation = -4.85 kcal/mol of atoms
energy above the lowest structure with this stoichiometry = 0.0 meV per atom
DOS at the Fermi energy = 4.59 states/eV/cell
ρ = 12.37 g/cm3

Quantum ESPRESSO input file:
```
&SYSTEM
  ibrav = 0, nat = 6, ntyp = 3
/
ATOMIC_SPECIES
Ni 58.69 Ni.upf
Os 190.23 Os.upf
La 138.91 La.upf
CELL_PARAMETERS angstrom
5.053 0.000 0.000
2.526 4.683 0.001
2.526 1.598 4.401
ATOMIC_POSITIONS crystal
Ni 0.000 0.500 0.500
Ni 0.000 0.000 0.000
Os 0.000 0.000 0.500
Os 0.500 0.000 0.500
La 0.378 0.372 0.872
La 0.622 0.628 0.128
```

=====

No. 2
Here is crystalline LaNiOs at its relaxed geometry from Alexandria. Energies are from PBEsol. Values from VASP.

Calculated values
magnetic moment = 0.00 μB per cell
electronic total energy = -7.672 eV per atom
energy of formation = 5.41 kcal/mol of atoms
energy above the lowest structure with this stoichiometry = 445.1 meV per atom
DOS at the Fermi energy = 4.32 states/eV/cell
ρ = 11.70 g/cm3

Quantum ESPRESSO input file:
```
&SYSTEM
  ibrav = 0, nat = 3, ntyp = 3
/
ATOMIC_SPECIES
La 138.91 La.upf
Ni 58.69 Ni.upf
Os 190.23 Os.upf
CELL_PARAMETERS angstrom
-0.709 -2.651 -1.908
2.256 -1.810 1.677
-4.255 0.857 3.317
ATOMIC_POSITIONS crystal
La 0.000 0.000 0.999
Ni 0.715 0.715 0.429
Os 0.286 0.286 0.571
```

=====

No. 3
Here is crystalline La2NiOs at its relaxed geometry from Alexandria. Energies are from PBEsol. Values from VASP.

Calculated values
magnetic moment = 0.00 μB per cell
electronic total energy = -7.379 eV per atom
energy of formation = -2.61 kcal/mol of atoms
DOS at the Fermi energy = 2.13 states/eV/cell
ρ = 9.69 g/cm3

Quantum ESPRESSO input file:
```
&SYSTEM
  ibrav = 0, nat = 4, ntyp = 3
/
ATOMIC_SPECIES
Ni 58.69 Ni.upf
Os 190.23 Os.upf
La 138.91 La.upf
CELL_PARAMETERS angstrom
-1.616 3.457 -1.366
0.567 -1.274 -3.895
-4.074 -3.997 0.715
ATOMIC_POSITIONS crystal
Ni 0.821 0.000 0.642
Os 0.690 0.500 0.380
La 0.113 0.000 0.227
La 0.399 0.500 0.797
```

=====

No. 4
Here is crystalline La2NiP at its relaxed geometry from Alexandria. Energies are from PBEsol. Values from VASP.

Calculated values
magnetic moment = 0.00 μB per cell
electronic total energy = -6.550 eV per atom
energy of formation = -20.51 kcal/mol of atoms
DOS at the Fermi energy = 3.91 states/eV/cell
ρ = 6.88 g/cm3

Quantum ESPRESSO input file:
```
&SYSTEM
  ibrav = 0, nat = 4, ntyp = 3
/
ATOMIC_SPECIES
Ni 58.69 Ni.upf
La 138.91 La.upf
P 30.97 P.upf
CELL_PARAMETERS angstrom
-0.544 2.946 -2.705
-4.012 -0.849 -0.117
1.152 3.914 4.030
ATOMIC_POSITIONS crystal
Ni 0.000 0.572 0.144
La 0.500 0.977 0.955
La 0.000 0.265 0.531
P 0.500 0.685 0.370
```